Record 1
{"formula": "TaIn2Pt", "functional": "PBE", "state": "relaxed", "lattice_angstrom": [[9.4741, -0.0040, -0.0023], [8.9705, 3.0477, -0.0023], [8.9705, 1.4803, 2.6640]], "species": ["In", "In", "Pt", "Ta"], "fractional_positions": [[0.9961, 0.9961, 0.9961], [0.5039, 0.5039, 0.5039], [0.2500, 0.2500, 0.2500], [0.7500, 0.7500, 0.7500]], "delta_e_f_mev_per_atom": 32, "total_magnetization_mub_per_cell": 0.00, "crystal_system": "trigonal"}

***

Record 2
{"formula": "NaSr3Pt", "functional": "PBE", "state": "relaxed", "lattice_angstrom": [[-4.0393, 1.9190, 12.9771], [2.1653, -6.6677, 7.9985], [9.9582, -2.3692, -2.8885]], "species": ["Sr", "Sr", "Sr", "Sr", "Sr", "Sr", "Sr", "Sr", "Sr", "Sr", "Sr", "Sr", "Pt", "Pt", "Pt", "Pt", "Na", "Na", "Na", "Na"], "fractional_positions": [[0.3617, 0.4311, 0.3943], [0.1383, 0.8943, 0.9311], [0.6383, 0.5689, 0.6057], [0.8617, 0.1057, 0.0689], [0.1632, 0.2308, 0.1314], [0.3368, 0.6314, 0.7308], [0.8368, 0.7692, 0.8686], [0.6632, 0.3686, 0.2692], [0.4364, 0.1602, 0.7745], [0.0636, 0.2745, 0.6602], [0.5636, 0.8398, 0.2255], [0.9364, 0.7255, 0.3398], [0.1172, 0.4180, 0.3133], [0.3828, 0.8133, 0.9180], [0.8828, 0.5820, 0.6867], [0.6172, 0.1867, 0.0820], [0.7500, 0.9727, 0.4727], [0.2500, 0.0273, 0.5273], [0.7500, 0.5668, 0.0668], [0.2500, 0.4332, 0.9332]], "delta_e_f_mev_per_atom": -317, "total_magnetization_mub_per_cell": 0.00, "crystal_system": "monoclinic"}

***

Record 3
{"formula": "KZrSe4", "functional": "PBE", "state": "relaxed", "lattice_angstrom": [[-3.4697, -6.1456, 0.1819], [5.7161, -3.1622, -6.0739], [0.9612, 3.7963, 8.7486]], "species": ["K", "K", "Zr", "Zr", "Se", "Se", "Se", "Se", "Se", "Se", "Se", "Se"], "fractional_positions": [[0.0746, 0.2106, 0.6466], [0.4216, 0.8005, 0.3506], [0.8121, 0.9946, 0.0247], [0.3068, 0.9968, 0.0228], [0.1125, 0.3150, 0.1167], [0.2260, 0.1164, 0.3322], [0.3657, 0.7040, 0.6444], [0.7400, 0.3878, 0.3746], [0.9312, 0.6124, 0.7857], [0.4927, 0.1036, 0.8728], [0.6040, 0.8341, 0.1085], [0.9126, 0.9242, 0.7202]], "total_magnetization_mub_per_cell": 0.00, "crystal_system": "triclinic", "e_form_raw_ev_per_atom": -0.96}

***

Record 4
{"formula": "CdI3Br", "functional": "PBE", "state": "relaxed", "lattice_angstrom": [[5.8999, 0.0000, 0.0000], [0.0000, 5.8999, 0.0000], [0.0000, 0.0000, 5.8999]], "species": ["I", "I", "I", "Br", "Cd"], "fractional_positions": [[0.0000, 0.5000, 0.0000], [0.0000, 0.0000, 0.5000], [0.5000, 0.0000, 0.0000], [0.5000, 0.5000, 0.5000], [0.0000, 0.0000, 0.0000]], "total_magnetization_mub_per_cell": 2.00, "crystal_system": "cubic", "e_form_raw_ev_per_atom": 0.09}

***

Record 5
{"formula": "Nd3Sm2Sc", "functional": "PBE", "state": "relaxed", "lattice_angstrom": [[-3.0741, -1.1555, -1.7047], [-3.4361, -1.9015, 7.4854], [-4.8473, 11.7871, 0.7517]], "species": ["Nd", "Nd", "Nd", "Nd", "Nd", "Nd", "Sm", "Sm", "Sm", "Sm", "Sc", "Sc"], "fractional_positions": [[0.7500, 0.0793, 0.6115], [0.2500, 0.9207, 0.3885], [0.7500, 0.6027, 0.2508], [0.2500, 0.3973, 0.7492], [0.2500, 0.3442, 0.0592], [0.7500, 0.6558, 0.9408], [0.2500, 0.3467, 0.4429], [0.7500, 0.6533, 0.5571], [0.7500, 0.0782, 0.8891], [0.2500, 0.9218, 0.1109], [0.2500, 0.8088, 0.7491], [0.7500, 0.1912, 0.2509]], "delta_e_f_mev_per_atom": 48, "total_magnetization_mub_per_cell": 0.00, "crystal_system": "monoclinic"}